# 1
GGA-PBE CeYCu4, optimized geometry; energy relative to the lowest polymorph listed for this composition = 0.0 kJ/mol of atoms; total magnetization = 0.3 μB per formula unit; density = 7297 kg/m3; energy of formation from the pure elements = -0.20 eV/atom
1.0
-2.1551 3.4295 3.7192
2.1551 -3.4295 3.7192
2.1551 3.4295 -3.7192
Ce Y Cu
1 1 4
direct
0.0000 0.0000 0.0000
0.4257 0.9257 0.5000
0.4226 0.6260 0.7966
0.5930 0.2959 0.2970
0.8294 0.6260 0.2034
0.9989 0.2959 0.7030



# 2
GGA-PBE CeYCu2, optimized geometry; energy relative to the lowest polymorph listed for this composition = 0.1 kJ/mol of atoms; total magnetization = 0.9 μB per formula unit; density = 6878 kg/m3; energy of formation from the pure elements = -0.13 eV/atom
1.0
3.4455 0.0000 0.0000
0.0000 3.4455 0.0000
0.0000 0.0000 7.2426
Ce Y Cu
1 1 2
direct
0.0000 0.0000 0.0000
0.0000 0.0000 0.5000
0.5000 0.5000 0.2640
0.5000 0.5000 0.7360



# 3
GGA-PBE YbCeCu2, optimized geometry; total magnetization = 0.7 μB per formula unit; density = 8640 kg/m3; energy of formation from the pure elements = -0.16 eV/atom
1.0
0.0000 3.4845 3.4845
3.4845 0.0000 3.4845
3.4845 3.4845 0.0000
Yb Ce Cu
1 1 2
direct
0.0000 0.0000 0.0000
0.5000 0.5000 0.5000
0.2500 0.2500 0.2500
0.7500 0.7500 0.7500



# 4
GGA-PBE Ce2Zn2Cu15, optimized geometry; total magnetization = 1.9 μB per formula unit; density = 8274 kg/m3; energy of formation from the pure elements = -0.09 eV/atom
1.0
4.3219 2.4953 4.2315
-4.3219 2.4953 4.2315
0.0000 -4.9905 4.2315
Ce Zn Cu
2 2 15
direct
0.1491 0.1491 0.1491
0.8509 0.8509 0.8509
0.3985 0.3985 0.3985
0.6015 0.6015 0.6015
0.0000 0.5000 0.5000
0.1540 0.1540 0.6520
0.1540 0.6520 0.1540
0.2026 0.5000 0.7974
0.2026 0.7974 0.5000
0.3480 0.8460 0.8460
0.5000 0.0000 0.5000
0.5000 0.2026 0.7974
0.5000 0.5000 0.0000
0.5000 0.7974 0.2026
0.6520 0.1540 0.1540
0.7974 0.2026 0.5000
0.7974 0.5000 0.2026
0.8460 0.3480 0.8460
0.8460 0.8460 0.3480



# 5
GGA-PBE Ce3Zn4Cu2, optimized geometry; total magnetization = 2.2 μB per formula unit; density = 7513 kg/m3; energy of formation from the pure elements = -0.24 eV/atom
1.0
5.1756 -2.2786 0.0000
5.1756 2.2786 0.0000
-3.9447 0.0000 7.5821
Ce Zn Cu
3 4 2
direct
0.0000 0.0000 0.0000
0.3259 0.3259 0.3422
0.6741 0.6741 0.6578
0.0358 0.0358 0.3703
0.2745 0.2745 0.9386
0.7255 0.7255 0.0614
0.9642 0.9642 0.6297
0.4033 0.4033 0.7340
0.5967 0.5967 0.2660



# 6
GGA-PBE Ce3Zn4Cu4, optimized geometry; total magnetization = 1.9 μB per formula unit; density = 7584 kg/m3; energy of formation from the pure elements = -0.20 eV/atom
1.0
-2.1018 3.5439 6.8797
2.1018 -3.5439 6.8797
2.1018 3.5439 -6.8797
Ce Zn Cu
3 4 4
direct
0.0000 0.0000 0.0000
0.3757 0.8757 0.5000
0.6243 0.1243 0.5000
0.0157 0.3273 0.6884
0.3611 0.6727 0.6884
0.6389 0.3273 0.3116
0.9843 0.6727 0.3116
0.2204 0.2204 0.0000
0.3163 0.5000 0.8163
0.6837 0.5000 0.1837
0.7796 0.7796 0.0000



# 7
GGA-PBE CeZn10Cu2, optimized geometry; total magnetization = 0.8 μB per formula unit; density = 7533 kg/m3; energy of formation from the pure elements = -0.17 eV/atom
1.0
0.0000 6.3748 6.3872
2.4939 0.0000 6.3872
2.4939 6.3748 0.0000
Ce Zn Cu
1 10 2
direct
0.0000 0.0000 0.0000
0.0000 0.5000 0.0000
0.0082 0.6478 0.3522
0.2801 0.5058 0.4942
0.3522 0.9918 0.0082
0.4942 0.7199 0.2801
0.5000 0.0000 0.5000
0.5058 0.2801 0.7199
0.6478 0.0082 0.9918
0.7199 0.4942 0.5058
0.9918 0.3522 0.6478
0.0000 0.0000 0.5000
0.5000 0.5000 0.0000



# 8
GGA-PBE CeZn2Cu, optimized geometry; total magnetization = 0.0 μB per formula unit; density = 7768 kg/m3; energy of formation from the pure elements = 0.19 eV/atom
1.0
1.4102 0.8142 10.3803
-1.4102 0.8142 10.3803
0.0000 -1.6283 10.3803
Ce Zn Cu
1 2 1
direct
0.0000 0.0000 0.0000
0.1011 0.1011 0.1011
0.8989 0.8989 0.8989
0.5000 0.5000 0.5000



# 9
GGA-PBE Ce3Zn8Cu3, optimized geometry; total magnetization = 2.3 μB per formula unit; density = 7479 kg/m3; energy of formation from the pure elements = -0.23 eV/atom
1.0
-2.2294 4.4098 6.4038
2.2294 -4.4098 6.4038
2.2294 4.4098 -6.4038
Ce Zn Cu
3 8 3
direct
0.0000 0.0000 0.0000
0.2925 0.2925 0.0000
0.7075 0.7075 0.0000
0.0100 0.6554 0.3546
0.1620 0.8696 0.2924
0.3008 0.6554 0.6454
0.4227 0.1304 0.2924
0.5773 0.8696 0.7076
0.6992 0.3446 0.3546
0.8380 0.1304 0.7076
0.9900 0.3446 0.6454
0.3293 0.5000 0.8293
0.5000 0.0000 0.5000
0.6707 0.5000 0.1707



# 10
GGA-PBE CeZn3Cu3, optimized geometry; total magnetization = 1.8 μB per formula unit; density = 4854 kg/m3; energy of formation from the pure elements = 0.61 eV/atom
1.0
0.0000 5.6492 5.6492
5.6492 0.0000 5.6492
5.6492 5.6492 0.0000
Ce Zn Cu
2 6 6
direct
0.2500 0.2500 0.2500
0.7500 0.7500 0.7500
0.1568 0.1568 0.8432
0.1568 0.8432 0.1568
0.1568 0.8432 0.8432
0.8432 0.1568 0.1568
0.8432 0.1568 0.8432
0.8432 0.8432 0.1568
0.3520 0.3520 0.6480
0.3520 0.6480 0.3520
0.3520 0.6480 0.6480
0.6480 0.3520 0.3520
0.6480 0.3520 0.6480
0.6480 0.6480 0.3520



# 11
GGA-PBE Ce3Zn2Cu7, optimized geometry; total magnetization = 2.7 μB per formula unit; density = 8175 kg/m3; energy of formation from the pure elements = -0.13 eV/atom
1.0
2.6468 1.5281 8.3369
-2.6468 1.5281 8.3369
0.0000 -3.0562 8.3369
Ce Zn Cu
3 2 7
direct
0.0000 0.0000 0.0000
0.1482 0.1482 0.1482
0.8518 0.8518 0.8518
0.3312 0.3312 0.3312
0.6688 0.6688 0.6688
0.0873 0.5788 0.5788
0.4212 0.4212 0.9127
0.4212 0.9127 0.4212
0.5000 0.5000 0.5000
0.5788 0.0873 0.5788
0.5788 0.5788 0.0873
0.9127 0.4212 0.4212



# 12
GGA-PBE Ce2Zn3Cu4, optimized geometry; total magnetization = 1.1 μB per formula unit; density = 7818 kg/m3; energy of formation from the pure elements = -0.16 eV/atom
1.0
0.0000 4.5621 6.6936
2.5410 0.0000 6.6936
2.5410 4.5621 0.0000
Ce Zn Cu
2 3 4
direct
0.1404 0.1404 0.8596
0.8596 0.8596 0.1404
0.0000 0.0000 0.5000
0.5000 0.5000 0.0000
0.5000 0.5000 0.5000
0.1546 0.5052 0.4948
0.4948 0.8454 0.1546
0.5052 0.1546 0.8454
0.8454 0.4948 0.5052